Compound: Ba2NdBe2O6
Source: Alexandria via LeMat-Bulk
Functional: PBE
Structure: relaxed

Geometry as CIF:
```
data_Ba2NdBe2O6
_cell_length_a 5.8805
_cell_length_b 5.8805
_cell_length_c 6.2153
_cell_angle_alpha 90.00
_cell_angle_beta 90.00
_cell_angle_gamma 120.00
_symmetry_space_group_name_H-M 'P -3'
_symmetry_Int_Tables_number 147
_symmetry_space_group_name_Hall '-P 3'
loop_
_atom_site_label
_atom_site_type_symbol
_atom_site_fract_x
_atom_site_fract_y
_atom_site_fract_z
Ba1 Ba 0.3333 0.6667 0.3192
Nd1 Nd 0.0000 0.0000 0.0000
Be1 Be 0.3333 0.6667 0.7954
O1 O 0.1261 0.3756 0.7788
```

Results
For the uncorrected formation energy, the calculation gives -2.532 eV per atom. The calculated density comes out at 4.8 Mg/m³. The calculation puts the density of states at the Fermi level at 0.4605 states/eV per atom.

Compound: Ba3NdBe2O6
Source: Alexandria via LeMat-Bulk
Functional: PBE
Structure: relaxed

Geometry as CIF:
```
data_Ba3NdBe2O6
_cell_length_a 5.8620
_cell_length_b 5.8620
_cell_length_c 7.3986
_cell_angle_alpha 90.00
_cell_angle_beta 90.00
_cell_angle_gamma 120.00
_symmetry_space_group_name_H-M 'P -3 m 1'
_symmetry_Int_Tables_number 164
_symmetry_space_group_name_Hall '-P 3 2"'
loop_
_atom_site_label
_atom_site_type_symbol
_atom_site_fract_x
_atom_site_fract_y
_atom_site_fract_z
Ba1 Ba 0.0000 0.0000 0.0000
Ba2 Ba 0.3333 0.6667 0.6899
Nd1 Nd 0.0000 0.0000 0.5000
Be1 Be 0.3333 0.6667 0.2734
O1 O 0.1806 0.3613 0.2992
```

Results
For the uncorrected formation energy, the calculation gives -2.607 eV per atom. The calculated density comes out at 5.1 Mg/m³. The calculation puts the density of states at the Fermi level at 0.1376 states/eV per atom.

Compound: Ba2NdBe2P4
Source: Alexandria via LeMat-Bulk
Functional: PBE
Structure: relaxed

Geometry as CIF:
```
data_Ba2NdBe2P4
_cell_length_a 15.253
_cell_length_b 4.038
_cell_length_c 7.370
_cell_angle_alpha 90.00
_cell_angle_beta 111.24
_cell_angle_gamma 90.00
_symmetry_space_group_name_H-M 'C 1 2/m 1'
_symmetry_Int_Tables_number 12
_symmetry_space_group_name_Hall '-C 2y'
loop_
_atom_site_label
_atom_site_type_symbol
_atom_site_fract_x
_atom_site_fract_y
_atom_site_fract_z
Ba1 Ba 0.140 0.000 0.078
Nd1 Nd 0.000 0.000 0.500
Be1 Be 0.172 0.500 0.471
P1 P 0.026 0.500 0.247
P2 P 0.205 0.000 0.644
```

Results
The calculation puts the formation energy at -7.53 eV/f.u. The calculated density comes out at 4.4 Mg/m³. The calculation puts the density of states at the Fermi level at 0.5156 states/eV per atom.

Compound: BaBe2Ni
Source: Alexandria via LeMat-Bulk
Functional: PBE
Structure: relaxed

Geometry as CIF:
```
data_BaBe2Ni
_cell_length_a 3.028
_cell_length_b 3.028
_cell_length_c 7.175
_cell_angle_alpha 90.00
_cell_angle_beta 90.00
_cell_angle_gamma 90.00
_symmetry_space_group_name_H-M 'P 4/m m m'
_symmetry_Int_Tables_number 123
_symmetry_space_group_name_Hall '-P 4 2'
loop_
_atom_site_label
_atom_site_type_symbol
_atom_site_fract_x
_atom_site_fract_y
_atom_site_fract_z
Ba1 Ba 0.000 0.000 0.000
Be1 Be 0.500 0.500 0.356
Ni1 Ni 0.000 0.000 0.500
```

Results
The calculation puts the formation energy at 1.41 eV/f.u. The calculated density comes out at 5.4 Mg/m³. The calculation puts the density of states at the Fermi level at 0.7411 states/eV per atom. As for the offset from the most stable computed form: 352 meV/atom.

Compound: BaBeNi2
Source: Alexandria via LeMat-Bulk
Functional: PBE
Structure: relaxed

Geometry as CIF:
```
data_BaBeNi2
_cell_length_a 6.664
_cell_length_b 6.664
_cell_length_c 6.664
_cell_angle_alpha 90.00
_cell_angle_beta 90.00
_cell_angle_gamma 90.00
_symmetry_space_group_name_H-M 'F -4 3 m'
_symmetry_Int_Tables_number 216
_symmetry_space_group_name_Hall 'F -4 2 3'
loop_
_atom_site_label
_atom_site_type_symbol
_atom_site_fract_x
_atom_site_fract_y
_atom_site_fract_z
Ba1 Ba 0.000 0.000 0.000
Be1 Be 0.250 0.250 0.250
Ni1 Ni 0.000 0.000 0.500
Ni2 Ni 0.250 0.250 0.750
```

Results
The calculation puts the formation energy at 3.37 eV/f.u. The calculated density comes out at 5.9 Mg/m³. The calculation puts the density of states at the Fermi level at 1.0015 states/eV per atom. As for the offset from the most stable computed form: 903 meV/atom.

Compound: BaBeNi
Source: Alexandria via LeMat-Bulk
Functional: PBE
Structure: relaxed

Geometry as CIF:
```
data_BaBeNi
_cell_length_a 7.121
_cell_length_b 7.121
_cell_length_c 7.121
_cell_angle_alpha 90.00
_cell_angle_beta 90.00
_cell_angle_gamma 90.00
_symmetry_space_group_name_H-M 'F -4 3 m'
_symmetry_Int_Tables_number 216
_symmetry_space_group_name_Hall 'F -4 2 3'
loop_
_atom_site_label
_atom_site_type_symbol
_atom_site_fract_x
_atom_site_fract_y
_atom_site_fract_z
Ba1 Ba 0.000 0.000 0.000
Be1 Be 0.250 0.250 0.250
Ni1 Ni 0.250 0.250 0.750
```

Results
The calculation puts the formation energy at 3.81 eV/f.u. The calculated density comes out at 3.8 Mg/m³. The calculation puts the density of states at the Fermi level at 1.0195 states/eV per atom. As for the offset from the most stable computed form: 1071 meV/atom.

Compound: BaBeNi2
Source: Alexandria via LeMat-Bulk
Functional: PBE
Structure: relaxed

Geometry as CIF:
```
data_BaBeNi2
_cell_length_a 4.550
_cell_length_b 4.550
_cell_length_c 3.443
_cell_angle_alpha 90.00
_cell_angle_beta 90.00
_cell_angle_gamma 90.00
_symmetry_space_group_name_H-M 'P 4/m m m'
_symmetry_Int_Tables_number 123
_symmetry_space_group_name_Hall '-P 4 2'
loop_
_atom_site_label
_atom_site_type_symbol
_atom_site_fract_x
_atom_site_fract_y
_atom_site_fract_z
Ba1 Ba 0.000 0.000 0.000
Be1 Be 0.500 0.500 0.000
Ni1 Ni 0.000 0.500 0.500
```

Results
The calculation puts the formation energy at 3.08 eV/f.u. The calculated density comes out at 6.1 Mg/m³. The calculation puts the density of states at the Fermi level at 0.7289 states/eV per atom. As for the offset from the most stable computed form: 832 meV/atom.

Compound: BaBe2Ni
Source: Alexandria via LeMat-Bulk
Functional: PBE
Structure: relaxed

Geometry as CIF:
```
data_BaBe2Ni
_cell_length_a 6.693
_cell_length_b 6.693
_cell_length_c 6.693
_cell_angle_alpha 90.00
_cell_angle_beta 90.00
_cell_angle_gamma 90.00
_symmetry_space_group_name_H-M 'F m -3 m'
_symmetry_Int_Tables_number 225
_symmetry_space_group_name_Hall '-F 4 2 3'
loop_
_atom_site_label
_atom_site_type_symbol
_atom_site_fract_x
_atom_site_fract_y
_atom_site_fract_z
Ba1 Ba 0.000 0.000 0.000
Be1 Be 0.250 0.250 0.250
Ni1 Ni 0.000 0.000 0.500
```

Results
The calculation puts the formation energy at 3.68 eV/f.u. The calculated density comes out at 4.7 Mg/m³. The calculation puts the density of states at the Fermi level at 1.0542 states/eV per atom. As for the offset from the most stable computed form: 918 meV/atom.

Compound: BaBeNi2
Source: Alexandria via LeMat-Bulk
Functional: PBE
Structure: relaxed

Geometry as CIF:
```
data_BaBeNi2
_cell_length_a 6.923
_cell_length_b 3.998
_cell_length_c 5.977
_cell_angle_alpha 90.00
_cell_angle_beta 112.55
_cell_angle_gamma 90.00
_symmetry_space_group_name_H-M 'C 1 2/m 1'
_symmetry_Int_Tables_number 12
_symmetry_space_group_name_Hall '-C 2y'
loop_
_atom_site_label
_atom_site_type_symbol
_atom_site_fract_x
_atom_site_fract_y
_atom_site_fract_z
Ba1 Ba 0.000 0.000 0.000
Be1 Be 0.000 0.500 0.500
Ni1 Ni 0.185 0.000 0.554
```

Results
The calculation puts the formation energy at -0.24 eV/f.u. The calculated density comes out at 5.7 Mg/m³. The calculation puts the density of states at the Fermi level at 0.8267 states/eV per atom. As for the offset from the most stable computed form: 0 meV/atom.

Compound: BaBe2Ni
Source: Alexandria via LeMat-Bulk
Functional: PBE
Structure: relaxed

Geometry as CIF:
```
data_BaBe2Ni
_cell_length_a 5.277
_cell_length_b 7.609
_cell_length_c 4.582
_cell_angle_alpha 90.00
_cell_angle_beta 124.84
_cell_angle_gamma 90.00
_symmetry_space_group_name_H-M 'C 1 2/m 1'
_symmetry_Int_Tables_number 12
_symmetry_space_group_name_Hall '-C 2y'
loop_
_atom_site_label
_atom_site_type_symbol
_atom_site_fract_x
_atom_site_fract_y
_atom_site_fract_z
Ba1 Ba 0.000 0.000 0.000
Be1 Be 0.250 0.250 0.500
Ni1 Ni 0.000 0.500 0.000
```

Results
The calculation puts the formation energy at 4.09 eV/f.u. The calculated density comes out at 4.7 Mg/m³. The calculation puts the density of states at the Fermi level at 0.5245 states/eV per atom. As for the offset from the most stable computed form: 1022 meV/atom.

Compound: BaBe2Ni
Source: Alexandria via LeMat-Bulk
Functional: PBE
Structure: relaxed

Geometry as CIF:
```
data_BaBe2Ni
_cell_length_a 4.841
_cell_length_b 4.841
_cell_length_c 3.002
_cell_angle_alpha 90.00
_cell_angle_beta 90.00
_cell_angle_gamma 90.00
_symmetry_space_group_name_H-M 'P 4/m m m'
_symmetry_Int_Tables_number 123
_symmetry_space_group_name_Hall '-P 4 2'
loop_
_atom_site_label
_atom_site_type_symbol
_atom_site_fract_x
_atom_site_fract_y
_atom_site_fract_z
Ba1 Ba 0.000 0.000 0.000
Be1 Be 0.000 0.500 0.500
Ni1 Ni 0.500 0.500 0.000
```

Results
The calculation puts the formation energy at 4.42 eV/f.u. The calculated density comes out at 5.1 Mg/m³. The calculation puts the density of states at the Fermi level at 0.5351 states/eV per atom. As for the offset from the most stable computed form: 1105 meV/atom.

Compound: BaBeNi
Source: Alexandria via LeMat-Bulk
Functional: PBE
Structure: relaxed

Geometry as CIF:
```
data_BaBeNi
_cell_length_a 3.9932
_cell_length_b 3.9932
_cell_length_c 4.8035
_cell_angle_alpha 90.00
_cell_angle_beta 90.00
_cell_angle_gamma 120.00
_symmetry_space_group_name_H-M 'P -6 m 2'
_symmetry_Int_Tables_number 187
_symmetry_space_group_name_Hall 'P -6 2'
loop_
_atom_site_label
_atom_site_type_symbol
_atom_site_fract_x
_atom_site_fract_y
_atom_site_fract_z
Ba1 Ba 0.0000 0.0000 0.0000
Be1 Be 0.3333 0.6667 0.5000
Ni1 Ni 0.6667 0.3333 0.5000
```

Results
The calculation puts the formation energy at 0.60 eV/f.u. The calculated density comes out at 5.1 Mg/m³. The calculation puts the density of states at the Fermi level at 0.6614 states/eV per atom. As for the offset from the most stable computed form: 0 meV/atom.

no.,spin magnetization (μB per atom)
1,0.10
2,0.00
3,0.00
4,0.00
5,0.00
6,0.02
7,0.00
8,0.00
9,0.00
10,0.00
11,0.00
12,0.00